# GaSn2Ge SCAN single point on PBEsol structure
# Raw total energy   -427.57 eV per cell
# ΔH_f (0 K)   0.38 eV/f.u.
# Energy above the lowest structure with this stoichiometry   0.000 eV per formula unit
data_GaSn2Ge
_cell_length_a 6.168
_cell_length_b 6.168
_cell_length_c 12.019
_cell_angle_alpha 90.00
_cell_angle_beta 90.00
_cell_angle_gamma 90.00
_symmetry_space_group_name_H-M 'I -4 2 d'
_symmetry_Int_Tables_number 122
_symmetry_space_group_name_Hall 'I -4 2bw'
loop_
_atom_site_label
_atom_site_type_symbol
_atom_site_fract_x
_atom_site_fract_y
_atom_site_fract_z
Ga1 Ga 0.000 0.000 0.000
Sn1 Sn 0.250 0.250 0.125
Ge1 Ge 0.000 0.000 0.500